Entry 1:
Here is a relaxed structure of LiPt2 from Alexandria via LeMat-Bulk. Energies are from PBE.

Properties
Its energy of formation is -9.816 kcal/mol of atoms. The value obtained for the final energy is -61.089 eV for the cell shown. As for the space-group type: Pnma.

POSCAR file:
```
LiPt2
1.0
5.465 0.000 0.000
0.000 3.902 0.000
0.000 0.000 8.227
Li Pt
4 8
Direct
0.111 0.250 0.084
0.389 0.750 0.584
0.611 0.250 0.416
0.889 0.750 0.916
0.111 0.250 0.410
0.151 0.250 0.747
0.349 0.750 0.247
0.389 0.750 0.910
0.611 0.250 0.090
0.651 0.250 0.753
0.849 0.750 0.253
0.889 0.750 0.590
```

Entry 2:
Here is a relaxed structure of Li2Pt from Alexandria via LeMat-Bulk. Energies are from PBE.

Properties
Its energy of formation is -12.965 kcal/mol of atoms. The value obtained for the final energy is -23.110 eV for the cell shown. As for the space-group type: Cmcm.

POSCAR file:
```
Li2Pt
1.0
1.363 -7.042 0.000
1.363 7.042 0.000
0.000 0.000 4.338
Li Pt
4 2
Direct
0.051 0.949 0.750
0.278 0.722 0.250
0.722 0.278 0.750
0.949 0.051 0.250
0.383 0.617 0.750
0.617 0.383 0.250
```

The records above give, respectively, energy relative to the lowest polymorph listed for this composition values of 23, 0 meV per atom.